Computed, not measured: a relaxed structure of PrHo2Sc at the PBE level of DFT.

a b c (Å): 11.5642 11.5642 11.5642
angles (deg): 17.51 17.51 17.51
Last column: nearest neighbours and their distance in Å.
Element x y z (fractional)
Pr: 0.0000 0.0000 0.0000  6 Pr 3.52, 6 Ho 3.63
Ho: 0.2454 0.2454 0.2454  3 Sc 3.37, 6 Ho 3.52, 3 Pr 3.63
Ho: 0.7546 0.7546 0.7546  3 Sc 3.37, 6 Ho 3.52, 3 Pr 3.63
Sc: 0.5000 0.5000 0.5000  6 Ho 3.37, 6 Sc 3.52

Output
DFT total energy   -5.016 eV/atom
Space-group type   R-3m

=====

Computed, not measured: a relaxed structure of Pr3Ho2Sc at the PBE level of DFT.

a b c (Å): 6.1963 7.9816 8.7896
angles (deg): 68.27 89.64 74.83
Last column: nearest neighbours and their distance in Å.
Element x y z (fractional)
Pr: 0.0403 0.1378 0.2847  2 Sc 3.42-3.51, 4 Ho 3.53-3.70, 6 Pr 3.59-3.71
Pr: 0.2931 0.8727 0.0428  3 Ho 3.48-3.60, 6 Pr 3.58-3.61, 3 Sc 3.59-3.62
Pr: 0.3724 0.1290 0.6259  5 Ho 3.49-3.66, 6 Pr 3.58-3.64, 1 Sc 3.59
Pr: 0.6276 0.8710 0.3741  5 Ho 3.49-3.66, 6 Pr 3.58-3.64, 1 Sc 3.59
Pr: 0.7069 0.1273 0.9572  3 Ho 3.48-3.60, 6 Pr 3.58-3.61, 3 Sc 3.59-3.62
Pr: 0.9597 0.8622 0.7153  2 Sc 3.42-3.51, 4 Ho 3.53-3.70, 6 Pr 3.59-3.71
Ho: 0.2075 0.6188 0.4615  6 Pr 3.49-3.70, 4 Ho 3.50-3.62, 2 Sc 3.53-3.61
Ho: 0.4521 0.3846 0.2038  6 Pr 3.48-3.66, 3 Sc 3.50-3.56, 3 Ho 3.50-3.62
Ho: 0.5479 0.6154 0.7962  6 Pr 3.48-3.66, 3 Sc 3.50-3.56, 3 Ho 3.50-3.62
Ho: 0.7925 0.3812 0.5385  6 Pr 3.49-3.70, 4 Ho 3.50-3.62, 2 Sc 3.53-3.61
Sc: 0.1223 0.3816 0.8752  6 Pr 3.42-3.62, 1 Sc 3.49, 5 Ho 3.50-3.61
Sc: 0.8777 0.6184 0.1248  6 Pr 3.42-3.62, 1 Sc 3.49, 5 Ho 3.50-3.61

Output
DFT total energy   -4.927 eV/atom
Space-group type   P-1

=====

Computed, not measured: a relaxed structure of Pr7Ho12Sc at the PBE level of DFT.

a b c (Å): 9.8018 9.8018 9.8018
angles (deg): 109.47 109.47 109.47
Last column: nearest neighbours and their distance in Å.
Element x y z (fractional)
Pr: 0.0000 0.0000 0.5000  6 Ho 2.83
Pr: 0.0000 0.5000 0.0000  6 Ho 2.83
Pr: 0.0000 0.5000 0.5000  12 Ho 4.00-4.15
Pr: 0.5000 0.0000 0.0000  6 Ho 2.83
Pr: 0.5000 0.0000 0.5000  12 Ho 4.00-4.15
Pr: 0.5000 0.5000 0.0000  12 Ho 4.00-4.15
Pr: 0.5000 0.5000 0.5000  6 Ho 2.83
Ho: 0.0000 0.2408 0.7592  2 Pr 2.83
Ho: 0.0000 0.7592 0.2408  2 Pr 2.83
Ho: 0.2408 0.0000 0.7592  2 Pr 2.83
Ho: 0.2408 0.2408 0.4815  2 Pr 2.83
Ho: 0.2408 0.4815 0.2408  2 Pr 2.83
Ho: 0.2408 0.7592 0.0000  2 Pr 2.83
Ho: 0.4815 0.2408 0.2408  2 Pr 2.83
Ho: 0.5185 0.7592 0.7592  2 Pr 2.83
Ho: 0.7592 0.0000 0.2408  2 Pr 2.83
Ho: 0.7592 0.2408 0.0000  2 Pr 2.83
Ho: 0.7592 0.5185 0.7592  2 Pr 2.83
Ho: 0.7592 0.7592 0.5185  2 Pr 2.83
Sc: 0.0000 0.0000 0.0000  12 Ho 3.85

Output
DFT total energy   -4.065 eV/atom
Space-group type   Im-3m

=====

Computed, not measured: a relaxed structure of Pr2Ho4Sc5 at the PBE level of DFT.

a b c (Å): 8.4208 3.4249 12.0248
angles (deg): 90.00 110.22 90.00
Last column: nearest neighbours and their distance in Å.
Element x y z (fractional)
Pr: 0.2214 0.0000 0.1011  3 Sc 3.32-3.41, 3 Pr 3.42-3.68, 2 Ho 3.56
Pr: 0.7786 0.0000 0.8989  3 Sc 3.32-3.41, 3 Pr 3.42-3.68, 2 Ho 3.56
Ho: 0.0250 0.5000 0.7557  6 Sc 3.26-3.46, 3 Ho 3.42-3.59, 2 Pr 3.56
Ho: 0.3731 0.5000 0.6480  8 Sc 3.27-3.48, 3 Ho 3.42-3.59
Ho: 0.6269 0.5000 0.3520  8 Sc 3.27-3.48, 3 Ho 3.42-3.59
Ho: 0.9750 0.5000 0.2443  6 Sc 3.26-3.46, 3 Ho 3.42-3.59, 2 Pr 3.56
Sc: 0.0000 0.0000 0.5000  4 Sc 3.28-3.42, 8 Ho 3.46-3.48
Sc: 0.3171 0.0000 0.4005  4 Sc 3.18-3.42, 6 Ho 3.32-3.34, 1 Pr 3.41
Sc: 0.3713 0.0000 0.8793  1 Sc 2.96, 4 Ho 3.26-3.27
Sc: 0.6287 0.0000 0.1207  1 Sc 2.96, 4 Ho 3.26-3.27
Sc: 0.6829 0.0000 0.5995  4 Sc 3.18-3.42, 6 Ho 3.32-3.34, 1 Pr 3.41

Output
DFT total energy   -5.276 eV/atom
Space-group type   P2/m

=====

Computed, not measured: a relaxed structure of PrHo5Sc at the PBE level of DFT.

a b c (Å): 9.2020 3.5571 13.6928
angles (deg): 90.00 102.92 90.00
Last column: nearest neighbours and their distance in Å.
Element x y z (fractional)
Pr: 0.1113 0.2500 0.1348  5 Ho 3.37-3.74, 2 Sc 3.37, 2 Pr 3.56
Pr: 0.8887 0.7500 0.8652  5 Ho 3.37-3.74, 2 Sc 3.37, 2 Pr 3.56
Ho: 0.0070 0.7500 0.3740  1 Sc 3.49, 10 Ho 3.56-3.91
Ho: 0.2049 0.2500 0.8828  8 Ho 3.35-3.62, 3 Pr 3.37-3.74
Ho: 0.3307 0.2500 0.5070  3 Sc 3.29-3.41, 8 Ho 3.39-3.63
Ho: 0.3491 0.7500 0.7204  10 Ho 3.35-3.70, 2 Sc 3.37
Ho: 0.4191 0.7500 0.0830  1 Sc 3.28, 9 Ho 3.39-3.56, 2 Pr 3.55
Ho: 0.5809 0.2500 0.9170  1 Sc 3.28, 9 Ho 3.39-3.56, 2 Pr 3.55
Ho: 0.6509 0.2500 0.2796  10 Ho 3.35-3.70, 2 Sc 3.37
Ho: 0.6693 0.7500 0.4930  3 Sc 3.29-3.41, 8 Ho 3.39-3.63
Ho: 0.7951 0.7500 0.1172  8 Ho 3.35-3.62, 3 Pr 3.37-3.74
Ho: 0.9930 0.2500 0.6260  1 Sc 3.49, 10 Ho 3.56-3.91
Sc: 0.3526 0.7500 0.3083  7 Ho 3.28-3.49, 2 Pr 3.37, 2 Sc 3.56
Sc: 0.6474 0.2500 0.6917  7 Ho 3.28-3.49, 2 Pr 3.37, 2 Sc 3.56

Output
DFT total energy   -4.791 eV/atom
Space-group type   P2_1/m

=====

Computed, not measured: a relaxed structure of Pr2Ho5Sc at the PBE level of DFT.

a b c (Å): 10.6007 10.6007 10.6007
angles (deg): 152.61 152.61 39.12
Last column: nearest neighbours and their distance in Å.
Element x y z (fractional)
Pr: 0.2499 0.2499 0.0000  4 Pr 3.55, 8 Ho 3.62
Pr: 0.7501 0.7501 0.0000  4 Pr 3.55, 8 Ho 3.62
Ho: 0.0000 0.0000 0.0000  8 Ho 3.47, 4 Sc 3.55
Ho: 0.1196 0.6196 0.5000  6 Ho 3.47-3.55, 2 Sc 3.47, 4 Pr 3.62
Ho: 0.3804 0.8804 0.5000  6 Ho 3.47-3.55, 2 Sc 3.47, 4 Pr 3.62
Ho: 0.6196 0.1196 0.5000  6 Ho 3.47-3.55, 2 Sc 3.47, 4 Pr 3.62
Ho: 0.8804 0.3804 0.5000  6 Ho 3.47-3.55, 2 Sc 3.47, 4 Pr 3.62
Sc: 0.5000 0.5000 0.0000  12 Ho 3.47-3.55

Output
DFT total energy   -4.805 eV/atom
Space-group type   I4/mmm

=====

Computed, not measured: a relaxed structure of Pr3Ho2Sc at the PBE level of DFT.

a b c (Å): 8.4567 3.6727 12.6496
angles (deg): 90.00 90.31 90.00
Last column: nearest neighbours and their distance in Å.
Element x y z (fractional)
Pr: 0.0785 0.2500 0.1128  2 Sc 3.40, 4 Ho 3.50-3.69, 6 Pr 3.64-3.67
Pr: 0.3400 0.7500 0.5602  2 Sc 3.31, 3 Ho 3.56-3.61, 4 Pr 3.61-3.67
Pr: 0.3956 0.7500 0.2466  1 Sc 3.48, 6 Pr 3.66-3.78, 5 Ho 3.76-3.80
Pr: 0.6044 0.2500 0.7534  1 Sc 3.48, 6 Pr 3.66-3.78, 5 Ho 3.76-3.80
Pr: 0.6600 0.2500 0.4398  2 Sc 3.31, 3 Ho 3.56-3.61, 4 Pr 3.61-3.67
Pr: 0.9215 0.7500 0.8872  2 Sc 3.40, 4 Ho 3.50-3.69, 6 Pr 3.64-3.67
Ho: 0.0737 0.2500 0.3897  2 Sc 3.42, 6 Pr 3.50-3.76, 4 Ho 3.57-3.67
Ho: 0.3488 0.7500 0.9476  2 Sc 3.33, 4 Ho 3.41-3.67, 3 Pr 3.61-3.69
Ho: 0.6512 0.2500 0.0524  2 Sc 3.33, 4 Ho 3.41-3.67, 3 Pr 3.61-3.69
Ho: 0.9263 0.7500 0.6103  2 Sc 3.42, 6 Pr 3.50-3.76, 4 Ho 3.57-3.67
Sc: 0.1926 0.2500 0.7536  5 Pr 3.31-3.48, 4 Ho 3.33-3.42, 2 Sc 3.67
Sc: 0.8074 0.7500 0.2464  5 Pr 3.31-3.48, 4 Ho 3.33-3.42, 2 Sc 3.67

Output
DFT total energy   -4.927 eV/atom
Space-group type   P2_1/m

=====

Computed, not measured: a relaxed structure of Pr4Ho4Sc at the PBE level of DFT.

a b c (Å): 12.3531 12.3531 12.3531
angles (deg): 155.15 155.15 35.44
Last column: nearest neighbours and their distance in Å.
Element x y z (fractional)
Pr: 0.1197 0.6265 0.0000  4 Ho 3.42-3.53, 1 Sc 3.52, 4 Pr 3.71-3.81
Pr: 0.3735 0.3735 0.4933  4 Ho 3.42-3.53, 1 Sc 3.52, 4 Pr 3.71-3.81
Pr: 0.6265 0.1197 0.0000  4 Ho 3.42-3.53, 1 Sc 3.52, 4 Pr 3.71-3.81
Pr: 0.8803 0.8803 0.5067  4 Ho 3.42-3.53, 1 Sc 3.52, 4 Pr 3.71-3.81
Ho: 0.0000 0.5000 0.5000  2 Sc 2.66
Ho: 0.2525 0.2525 0.0000  4 Pr 3.42-3.49, 4 Ho 3.76
Ho: 0.5000 0.0000 0.5000  2 Sc 2.66
Ho: 0.7475 0.7475 0.0000  4 Pr 3.42-3.49, 4 Ho 3.76
Sc: 0.0000 0.0000 0.0000  4 Ho 2.66

Output
DFT total energy   -4.224 eV/atom
Space-group type   I-42m

=====

| no. | DFT formation energy (kJ per mole of atoms) |
| --- | --- |
| 1 | 5 |
| 2 | 4 |
| 3 | 65 |
| 4 | 13 |
| 5 | 6 |
| 6 | 4 |
| 7 | 4 |
| 8 | 62 |